No. 1
An optimized crystal structure of CrOs2Pt. Source: the Alexandria database, functional PBE.

a = 4.688 Å, b = 4.688 Å, c = 4.716 Å
α = 100.60°, β = 100.60°, γ = 33.57°
Fractional coordinates of all 4 atoms:
Cr1 0.000 0.000 0.000
Os1 0.260 0.260 0.768
Os2 0.740 0.740 0.232
Pt1 0.500 0.500 0.500


No. 2
An optimized crystal structure of RbTaHg. Source: the Alexandria database, functional PBE.

a = 5.386 Å, b = 5.386 Å, c = 6.103 Å
α = 90.00°, β = 90.00°, γ = 120.00°
Fractional coordinates of all 6 atoms:
Rb1 0.000 0.000 0.000
Rb2 0.000 0.000 0.500
Ta1 0.333 0.667 0.250
Ta2 0.667 0.333 0.750
Hg1 0.333 0.667 0.750
Hg2 0.667 0.333 0.250

Results
The value obtained for the polymorph energy (0 for the lowest one) is 1082 meV/atom.


Looking at total DFT energy (no corrections) for the records above, in order, we have -37.94 -17.65 eV/cell.
Looking at energy of formation from the pure elements for the records above, in order, we have 0.045 1.432 eV per atom.